Pm3In4Pt2 | PBE | relaxed

Cell lengths 4.629, 6.239, 8.865 Å; angles 72.94, 74.87, 68.22 degrees
Sites, in units of the cell vectors:
In  0.014  0.323  0.648
Pm  0.689  0.253  0.370
Pt  0.605  0.061  0.729
Pm  0.000  0.000  0.000
In  0.740  0.606  0.913
Pt  0.395  0.939  0.271
In  0.986  0.677  0.352
Pm  0.311  0.747  0.630
In  0.260  0.394  0.087

The calculation puts the density of states at the Fermi level at 4.2 states/eV/cell. The space group is C2/m (12). Its crystal system is monoclinic. As for the formation energy: -6.7 eV per formula unit.